PBE KPu4Ag3S12, relaxed; calculated volume = 24.0 A^3/atom; space-group type = Im-3, No. 204; total DFT energy (no corrections) = -6.650 eV per atom; raw formation energy = -16.50 eV/f.u.; DOS at the Fermi energy = 32.142 states/eV/cell
1.0
-2.800 -6.787 4.358
8.428 -0.665 -1.197
-1.695 7.112 4.410
S Pu Ag K
12 4 3 1
Direct
0.175 0.868 0.693 S
0.825 0.518 0.693 S
0.307 0.825 0.132 S
0.693 0.825 0.518 S
0.175 0.482 0.307 S
0.132 0.307 0.825 S
0.825 0.132 0.307 S
0.307 0.175 0.482 S
0.518 0.693 0.825 S
0.868 0.693 0.175 S
0.482 0.307 0.175 S
0.693 0.175 0.868 S
0.000 0.500 0.000 Pu
0.500 0.000 0.000 Pu
0.000 0.000 0.500 Pu
0.500 0.500 0.500 Pu
0.500 0.000 0.500 Ag
0.500 0.500 0.000 Ag
0.000 0.500 0.500 Ag
0.000 0.000 0.000 K

PBE KPu2AgS4, relaxed; calculated volume = 24.6 A^3/atom; space-group type = Cmcm, No. 63; total DFT energy (no corrections) = -7.483 eV per atom; raw formation energy = -10.74 eV/f.u.; DOS at the Fermi energy = 34.830 states/eV/cell
1.0
-3.519 2.024 -0.564
-1.480 -5.587 4.073
2.604 7.752 11.578
S Ag Pu K
8 2 4 2
Direct
0.263 0.526 0.101 S
0.000 0.000 0.000 S
0.263 0.526 0.399 S
0.558 0.116 0.250 S
0.442 0.884 0.750 S
0.737 0.474 0.899 S
0.737 0.474 0.601 S
0.000 0.000 0.500 S
0.164 0.328 0.250 Ag
0.836 0.672 0.750 Ag
0.631 0.262 0.063 Pu
0.369 0.738 0.563 Pu
0.369 0.738 0.937 Pu
0.631 0.262 0.437 Pu
0.114 0.228 0.750 K
0.886 0.772 0.250 K

PBE K4Pu3AgS8, relaxed; calculated volume = 26.3 A^3/atom; space-group type = C2/m, No. 12; total DFT energy (no corrections) = -6.501 eV per atom; raw formation energy = -20.75 eV/f.u.; DOS at the Fermi energy = 28.872 states/eV/cell
1.0
8.112 0.000 0.000
0.000 8.698 0.343
-4.056 -4.093 5.810
Ag S K Pu
1 8 4 3
Direct
0.000 0.500 0.000 Ag
0.243 0.699 0.486 S
0.757 0.301 0.514 S
0.279 0.301 0.040 S
0.761 0.301 0.040 S
0.734 0.702 0.469 S
0.266 0.298 0.531 S
0.239 0.699 0.960 S
0.721 0.699 0.960 S
0.000 0.000 0.000 K
0.000 0.000 0.500 K
0.500 0.000 0.500 K
0.500 0.000 0.000 K
0.500 0.500 0.500 Pu
0.000 0.500 0.500 Pu
0.500 0.500 0.000 Pu